Record 1
Material: GaSn2IrSe
Method: DFT, PBE
State: relaxed

Summary:
space group	P4/mmm (123)
D(E_F)	0.59	states/eV per atom
size of the total moment	0.00	μB per cell
VASP energy	-19.9	eV per cell

Cell lengths 5.656, 4.522, 5.656 Å; angles 90.00, 90.00, 90.00 degrees
Positions (direct):
Ga1 0.500 0.500 0.500
Ir1 0.000 0.500 0.000
Sn1 0.000 0.000 0.500
Sn2 0.500 0.000 0.000
Se1 0.000 0.000 0.000

---

Record 2
Material: Th6GaIr2Se3
Method: DFT, PBE
State: relaxed

Summary:
space group	C2/m (12)
D(E_F)	0.76	states/eV per atom
size of the total moment	0.00	μB per cell
VASP energy	-89.9	eV per cell

Cell lengths 4.174, 8.721, 9.593 Å; angles 104.93, 102.57, 90.00 degrees
Positions (direct):
Th1 0.333 0.895 0.667
Th2 0.673 0.566 0.347
Th3 0.667 0.105 0.333
Th4 0.010 0.252 0.019
Th5 0.990 0.748 0.981
Th6 0.327 0.434 0.653
Ga1 0.500 0.000 0.000
Ir1 0.831 0.665 0.663
Ir2 0.169 0.335 0.337
Se1 0.500 0.500 0.000
Se2 0.840 0.166 0.679
Se3 0.160 0.834 0.321

---

Record 3
Material: TiGa2IrSe
Method: DFT, PBE
State: relaxed

Summary:
space group	P4/mmm (123)
D(E_F)	0.97	states/eV per atom
size of the total moment	0.97	μB per cell
VASP energy	-21.9	eV per cell

Cell lengths 4.903, 4.661, 4.903 Å; angles 90.00, 90.00, 90.00 degrees
Each line ends with the local moment (μB).
Positions (direct):
Ir1 0.500 0.500 0.500  0.93
Ga1 0.000 0.000 0.500  -0.01
Ga2 0.500 0.000 0.000  0.00
Se1 0.000 0.500 0.000  0.03
Ti1 0.000 0.000 0.000  0.01

---

Record 4
Material: GaSiIr3
Method: DFT, PBE
State: relaxed

Summary:
space group	Pm-3m (221)
D(E_F)	1.25	states/eV per atom
size of the total moment	0.00	μB per cell
VASP energy	-28.1	eV per cell

Cell lengths 4.534, 4.534, 4.534 Å; angles 90.00, 90.00, 90.00 degrees
Positions (direct):
Si1 0.500 0.500 0.500
Ir1 0.000 0.500 0.000
Ir2 0.000 0.000 0.500
Ir3 0.500 0.000 0.000
Ga1 0.000 0.000 0.000

---

Record 5
Material: GaSiIr2
Method: DFT, PBE
State: relaxed

Summary:
space group	P4/mmm (123)
D(E_F)	0.21	states/eV per atom
size of the total moment	0.00	μB per cell
VASP energy	-28.0	eV per cell

Cell lengths 2.874, 2.874, 6.779 Å; angles 90.00, 90.00, 90.00 degrees
Positions (direct):
Si1 0.500 0.500 0.000
Ir1 0.000 0.000 0.778
Ir2 0.000 0.000 0.222
Ga1 0.500 0.500 0.500

---

Record 6
Material: GaSiIr2
Method: DFT, PBE
State: relaxed

Summary:
space group	P4/mmm (123)
D(E_F)	0.19	states/eV per atom
size of the total moment	0.00	μB per cell
VASP energy	-27.7	eV per cell

Cell lengths 3.356, 4.069, 4.069 Å; angles 90.00, 90.00, 90.00 degrees
Positions (direct):
Si1 0.500 0.500 0.500
Ir1 0.000 0.000 0.500
Ir2 0.000 0.500 0.000
Ga1 0.500 0.000 0.000

---

Record 7
Material: GaSiIr3
Method: DFT, PBE
State: relaxed

Summary:
space group	Pm-3m (221)
D(E_F)	0.12	states/eV per atom
size of the total moment	0.00	μB per cell
VASP energy	-32.0	eV per cell

Cell lengths 4.423, 4.423, 4.423 Å; angles 90.00, 90.00, 90.00 degrees
Positions (direct):
Si1 0.000 0.000 0.000
Ir1 0.000 0.500 0.000
Ir2 0.000 0.000 0.500
Ir3 0.500 0.000 0.000
Ga1 0.500 0.500 0.500

---

Record 8
Material: GaSiIr
Method: DFT, PBE
State: relaxed

Summary:
space group	P-1 (2)
D(E_F)	0.38	states/eV per atom
size of the total moment	0.00	μB per cell
VASP energy	-73.3	eV per cell

Cell lengths 5.119, 6.631, 6.631 Å; angles 78.27, 70.81, 70.81 degrees
Positions (direct):
Ga1 0.156 0.665 0.916
Ga2 0.845 0.834 0.585
Ga3 0.844 0.335 0.084
Ga4 0.155 0.166 0.415
Ir1 0.148 0.414 0.664
Ir2 0.147 0.914 0.164
Ir3 0.852 0.586 0.336
Ir4 0.853 0.086 0.836
Si1 0.607 0.428 0.678
Si2 0.607 0.928 0.178
Si3 0.393 0.572 0.322
Si4 0.393 0.072 0.822

---

Record 9
Material: Ga8SiIr2
Method: DFT, PBE
State: relaxed

Summary:
space group	C2/m (12)
D(E_F)	0.30	states/eV per atom
size of the total moment	0.00	μB per cell
VASP energy	-48.9	eV per cell

Cell lengths 5.056, 6.661, 6.661 Å; angles 70.55, 102.60, 102.60 degrees
Positions (direct):
Ga1 0.385 0.408 0.811
Ga2 0.615 0.189 0.592
Ga3 0.199 0.807 0.807
Ga4 0.801 0.193 0.193
Ga5 0.385 0.811 0.408
Ga6 0.615 0.592 0.189
Ga7 0.837 0.586 0.586
Ga8 0.163 0.414 0.414
Si1 0.000 0.000 0.000
Ir1 0.684 0.802 0.802
Ir2 0.316 0.198 0.198

---

Record 10
Material: GaSiIr2
Method: DFT, PBE
State: relaxed

Summary:
space group	I-42d (122)
D(E_F)	0.63	states/eV per atom
size of the total moment	0.00	μB per cell
VASP energy	-51.1	eV per cell

Cell lengths 5.565, 5.565, 6.581 Å; angles 64.99, 64.99, 90.00 degrees
Positions (direct):
Si1 0.500 0.500 0.000
Si2 0.250 0.750 0.500
Ir1 0.603 0.125 0.250
Ir2 0.147 0.625 0.250
Ir3 0.375 0.397 0.750
Ir4 0.875 0.853 0.750
Ga1 0.000 0.000 0.000
Ga2 0.750 0.250 0.500

---

Record 11
Material: Ga3SiIr3
Method: DFT, PBE
State: relaxed

Summary:
space group	C2/m (12)
D(E_F)	0.28	states/eV per atom
size of the total moment	0.00	μB per cell
VASP energy	-86.7	eV per cell

Cell lengths 5.518, 5.518, 7.919 Å; angles 90.28, 90.28, 116.59 degrees
Positions (direct):
Ga1 0.540 0.540 0.340
Ga2 0.152 0.848 0.500
Ga3 0.848 0.152 0.500
Ga4 0.220 0.780 0.000
Ga5 0.780 0.220 0.000
Ga6 0.460 0.460 0.660
Si1 0.697 0.697 0.945
Si2 0.303 0.303 0.055
Ir1 0.945 0.945 0.216
Ir2 0.940 0.510 0.745
Ir3 0.510 0.940 0.745
Ir4 0.060 0.490 0.255
Ir5 0.490 0.060 0.255
Ir6 0.055 0.055 0.784

---

Record 12
Material: Ga2SiIr
Method: DFT, PBE
State: relaxed

Summary:
space group	I-42d (122)
D(E_F)	0.75	states/eV per atom
size of the total moment	0.00	μB per cell
VASP energy	-37.0	eV per cell

Cell lengths 5.962, 5.962, 6.530 Å; angles 62.84, 62.84, 90.00 degrees
Positions (direct):
Si1 0.500 0.500 0.000
Si2 0.250 0.750 0.500
Ir1 0.000 0.000 0.000
Ir2 0.750 0.250 0.500
Ga1 0.633 0.125 0.250
Ga2 0.117 0.625 0.250
Ga3 0.375 0.367 0.750
Ga4 0.875 0.883 0.750

---

ΔE_f (raw), record by record: 0.688, -1.179, 0.880, 1.382, -0.458, -0.377, 0.598, -0.339, -0.141, 0.151, -0.326, 0.454 eV/atom